# 1
# PmZrBi

A geometry-optimized PmZrBi structure (PBE, Alexandria).

Its crystal system is tetragonal. The total moment comes out at 1.4 μB/f.u. The value obtained for the formation energy is -0.19 eV/atom. As for the energy above the lowest structure with this stoichiometry: 391 meV per atom.

The space group is P4/nmm (No. 129, origin choice 2) and the conventional cell measures 4.336, 4.336 and 9.679 Å, with angles of 90.00, 90.00 and 90.00 degrees. The distinct sites, in fractional coordinates, are Pm at (0.250, 0.250, 0.219), Zr at (0.250, 0.250, 0.563) and Bi at (0.250, 0.250, 0.875).

# 2
# PmZrBi

A geometry-optimized PmZrBi structure (PBE, Alexandria).

Its crystal system is tetragonal. The total moment comes out at 0.0 μB/f.u. The value obtained for the formation energy is -0.32 eV/atom. As for the energy above the lowest structure with this stoichiometry: 262 meV per atom.

The space group is I4mm (No. 107) and the conventional cell measures 3.912, 3.912 and 10.931 Å, with angles of 90.00, 90.00 and 90.00 degrees. The distinct sites, in fractional coordinates, are Pm at (0.000, 0.000, 0.000), Zr at (0.000, 0.000, 0.683) and Bi at (0.000, 0.000, 0.315).

# 3
# PmZrBi

A geometry-optimized PmZrBi structure (PBE, Alexandria).

Its crystal system is trigonal. The total moment comes out at 0.0 μB/f.u. The value obtained for the formation energy is -0.08 eV/atom. As for the energy above the lowest structure with this stoichiometry: 507 meV per atom.

The space group is P3m1 (No. 156) and the conventional cell measures 5.2495, 5.2495 and 3.5805 Å, with angles of 90.00, 90.00 and 120.00 degrees. The distinct sites, in fractional coordinates, are Pm at (0.0000, 0.0000, 0.0000), Zr at (0.3333, 0.6667, 0.5004) and Bi at (0.6667, 0.3333, 0.4988).

# 4
# Pr3Bi2

A geometry-optimized Pr3Bi2 structure (PBE, Alexandria).

Its crystal system is orthorhombic. The total moment comes out at 0.0 μB/f.u. The value obtained for the formation energy is -0.67 eV/atom. As for the energy above the lowest structure with this stoichiometry: 15 meV per atom.

The space group is Ibam (No. 72) and the conventional cell measures 9.085, 12.248 and 6.540 Å, with angles of 90.00, 90.00 and 90.00 degrees. The distinct sites, in fractional coordinates, are Pr at (0.000, 0.000, 0.250), Pr at (0.142, 0.351, 0.000) and Bi at (0.215, 0.387, 0.500).

# 5
# Pr3Bi2

A geometry-optimized Pr3Bi2 structure (PBE, Alexandria).

Its crystal system is trigonal. The total moment comes out at 0.0 μB/f.u. The value obtained for the formation energy is -0.52 eV/atom. As for the energy above the lowest structure with this stoichiometry: 158 meV per atom.

The space group is R-3c (No. 167, hexagonal axes) and the conventional cell measures 7.7808, 7.7808 and 22.6139 Å, with angles of 90.00, 90.00 and 120.00 degrees. The distinct sites, in fractional coordinates, are Pr at (0.0000, 0.3399, 0.2500) and Bi at (0.0000, 0.0000, 0.1663).

# 6
# PrBi

A geometry-optimized PrBi structure (PBE, Alexandria).

Its crystal system is tetragonal. The total moment comes out at 0.0 μB/f.u. The value obtained for the formation energy is -0.78 eV/atom. As for the energy above the lowest structure with this stoichiometry: 178 meV per atom.

The space group is P4/mmm (No. 123) and the conventional cell measures 4.274, 4.274 and 3.480 Å, with angles of 90.00, 90.00 and 90.00 degrees. The distinct sites, in fractional coordinates, are Pr at (0.000, 0.000, 0.000) and Bi at (0.500, 0.500, 0.500).

# 7
# PrBi3

A geometry-optimized PrBi3 structure (PBE, Alexandria).

Its crystal system is orthorhombic. The total moment comes out at 0.0 μB/f.u. The value obtained for the formation energy is -0.45 eV/atom.

The space group is Cmcm (No. 63) and the conventional cell measures 4.674, 24.037 and 4.687 Å, with angles of 90.00, 90.00 and 90.00 degrees. The distinct sites, in fractional coordinates, are Pr at (0.000, 0.070, 0.250), Bi at (0.000, 0.180, 0.750), Bi at (0.000, 0.320, 0.750) and Bi at (0.000, 0.447, 0.250).

# 8
# Pr3Bi2

A geometry-optimized Pr3Bi2 structure (PBE, Alexandria).

Its crystal system is tetragonal. The total moment comes out at 0.0 μB/f.u. The value obtained for the formation energy is -0.68 eV/atom. As for the energy above the lowest structure with this stoichiometry: 0 meV per atom.

The space group is I4_1/amd (No. 141, origin choice 2) and the conventional cell measures 6.391, 6.391 and 16.476 Å, with angles of 90.00, 90.00 and 90.00 degrees. The distinct sites, in fractional coordinates, are Pr at (0.000, 0.000, 0.000), Pr at (0.000, 0.250, 0.375) and Bi at (0.000, 0.250, 0.177).

# 9
# PrBi

A geometry-optimized PrBi structure (PBE, Alexandria).

Its crystal system is orthorhombic. The total moment comes out at 0.0 μB/f.u. The value obtained for the formation energy is -0.85 eV/atom. As for the energy above the lowest structure with this stoichiometry: 110 meV per atom.

The space group is Cmcm (No. 63) and the conventional cell measures 4.387, 12.419 and 4.954 Å, with angles of 90.00, 90.00 and 90.00 degrees. The distinct sites, in fractional coordinates, are Pr at (0.000, 0.125, 0.250) and Bi at (0.000, 0.387, 0.250).

# 10
# PrBi3

A geometry-optimized PrBi3 structure (PBE, Alexandria).

Its crystal system is orthorhombic. The total moment comes out at 0.0 μB/f.u. The value obtained for the formation energy is -0.46 eV/atom.

The space group is Imm2 (No. 44) and the conventional cell measures 4.749, 11.269 and 4.723 Å, with angles of 90.00, 90.00 and 90.00 degrees. The distinct sites, in fractional coordinates, are Pr at (0.000, 0.000, 0.000), Bi at (0.000, 0.251, 0.502) and Bi at (0.000, 0.500, 0.000).

Which value of formation energy does entry 3 give? -0.08 eV/atom

Among the records above, which one has the highest total moment? number 1

What is the formula in the first record? PmZrBi